(1)
The following is a GGA-PBE calculation of a relaxed structure of PaZnGaSe, from the Alexandria database.

a b c (Å): 4.3575 4.3575 8.5734
angles (deg): 90.00 90.00 90.00
With the nearest neighbours (Å) after each atom.
Sites, in units of the cell vectors:
Pa1 0.2500 0.2500 0.2233  4 Se 2.90, 4 Ga 3.20, 4 Zn 3.22
Pa2 0.7500 0.7500 0.7767  4 Se 2.90, 4 Ga 3.20, 4 Zn 3.22
Zn1 0.2500 0.7500 0.5000  4 Ga 2.64
Zn2 0.7500 0.2500 0.5000  4 Ga 2.64
Ga1 0.2500 0.2500 0.6739  4 Zn 2.64
Ga2 0.7500 0.7500 0.3261  4 Zn 2.64
Se1 0.2500 0.7500 0.0000  4 Pa 2.90, 4 Se 3.08
Se2 0.7500 0.2500 0.0000  4 Pa 2.90, 4 Se 3.08

Output
The calculated density comes out at 9.08 Mg/m³. The space-group type is P4/nmm (129). As for the total energy: -39.222 eV/cell. Its crystal system is tetragonal. The magnetic moment is 0.0 Bohr magnetons per cell.

---

(2)
The following is a GGA-PBE calculation of a relaxed structure of PaGa2Si, from the Alexandria database.

a b c (Å): 5.3872 5.3872 5.3872
angles (deg): 47.58 47.58 47.58
With the nearest neighbours (Å) after each atom.
Sites, in units of the cell vectors:
Pa1 0.0000 0.0000 0.0000  8 Ga 3.00-3.13
Ga1 0.2189 0.2189 0.2189  3 Si 2.62, 3 Ga 2.92
Ga2 0.7811 0.7811 0.7811  3 Si 2.62, 3 Ga 2.92
Si1 0.5000 0.5000 0.5000  6 Ga 2.62

Output
The calculated density comes out at 8.49 Mg/m³. The space-group type is R-3m (166). As for the total energy: -21.129 eV/cell. Its crystal system is trigonal. The energy above the most stable polymorph in this dataset is 34.8 kJ/mol of atoms. The magnetic moment is 0.3 Bohr magnetons per cell.

---

(3)
The following is a GGA-PBE calculation of a relaxed structure of PaGa2Si, from the Alexandria database.

a b c (Å): 4.1567 4.1567 4.4185
angles (deg): 90.00 90.00 90.00
With the nearest neighbours (Å) after each atom.
Sites, in units of the cell vectors:
Pa1 0.0000 0.0000 0.0000  4 Si 2.94, 8 Ga 3.03
Ga1 0.0000 0.5000 0.5000  4 Ga 2.94, 4 Pa 3.03, 4 Si 3.03
Ga2 0.5000 0.0000 0.5000  4 Ga 2.94, 4 Pa 3.03, 4 Si 3.03
Si1 0.5000 0.5000 0.0000  4 Pa 2.94, 8 Ga 3.03

Output
The calculated density comes out at 8.67 Mg/m³. The space-group type is P4/mmm (123). As for the total energy: -22.573 eV/cell. Its crystal system is tetragonal. The energy above the most stable polymorph in this dataset is 0.0 kJ/mol of atoms. The magnetic moment is 0.0 Bohr magnetons per cell.

---

Question: Among the records above, which one has the lowest calculated density?
Answer: number 2